Material: YEr2MoO6
Method: DFT, GGA+U
State: relaxed

Results
The mass density comes out at 7.2 g/cm³. The calculation puts the total energy at -8.31 eV per atom.

The structure in POSCAR format:
```
YEr2MoO6
1.0
-1.8415 -2.3083 4.8725
0.6111 -5.5892 0.9155
4.0760 -1.7960 4.0183
Y Er Mo O
1 2 1 6
Cartesian
1.3625 -7.4136 6.9950
1.0557 -4.9155 4.7323
3.7935 -1.8492 3.8869
-0.2013 -2.5934 2.0266
0.0334 -3.0370 4.1814
1.2088 -6.1196 2.8870
-0.3051 -6.0054 6.0884
2.7607 -6.2466 5.7179
1.8769 -3.6744 6.5866
3.1217 -3.9676 4.0320
```